# AcPrMgGa, optimized geometry, DFT PBE-GGA
data_AcPrMgGa
_chemical_formula_sum 'Ac4 Pr4 Mg4 Ga4'
_symmetry_space_group_name_H-M 'P 1'
_symmetry_Int_Tables_number 1
_cell_length_a 7.821
_cell_length_b 7.821
_cell_length_c 7.821
_cell_angle_alpha 90.00
_cell_angle_beta 90.00
_cell_angle_gamma 90.00
loop_
_symmetry_equiv_pos_as_xyz
'x,y,z'
loop_
_atom_site_label
_atom_site_type_symbol
_atom_site_fract_x
_atom_site_fract_y
_atom_site_fract_z
Ac1 Ac 0.000 0.000 0.000
Ac2 Ac 0.000 0.500 0.500
Ac3 Ac 0.500 0.000 0.500
Ac4 Ac 0.500 0.500 0.000
Pr1 Pr 0.000 0.000 0.500
Pr2 Pr 0.000 0.500 0.000
Pr3 Pr 0.500 0.000 0.000
Pr4 Pr 0.500 0.500 0.500
Mg1 Mg 0.250 0.250 0.750
Mg2 Mg 0.250 0.750 0.250
Mg3 Mg 0.750 0.250 0.250
Mg4 Mg 0.750 0.750 0.750
Ga1 Ga 0.250 0.250 0.250
Ga2 Ga 0.250 0.750 0.750
Ga3 Ga 0.750 0.250 0.750
Ga4 Ga 0.750 0.750 0.250
# total magnetic moment: 0.0 μB per cell
# DFT total energy: -3.6475 eV per atom
# space-group type: F-43m (216)
# energy of formation from the pure elements: -0.270 eV per atom


# LaTbHg, optimized geometry, DFT PBE-GGA
data_LaTbHg
_chemical_formula_sum 'La4 Tb4 Hg4'
_symmetry_space_group_name_H-M 'P 1'
_symmetry_Int_Tables_number 1
_cell_length_a 7.473
_cell_length_b 3.794
_cell_length_c 12.699
_cell_angle_alpha 90.00
_cell_angle_beta 90.00
_cell_angle_gamma 90.00
loop_
_symmetry_equiv_pos_as_xyz
'x,y,z'
loop_
_atom_site_label
_atom_site_type_symbol
_atom_site_fract_x
_atom_site_fract_y
_atom_site_fract_z
La1 La 0.135 0.250 0.088
La2 La 0.365 0.750 0.588
La3 La 0.635 0.250 0.412
La4 La 0.865 0.750 0.912
Tb1 Tb 0.110 0.250 0.392
Tb2 Tb 0.390 0.750 0.892
Tb3 Tb 0.610 0.250 0.108
Tb4 Tb 0.890 0.750 0.608
Hg1 Hg 0.128 0.250 0.764
Hg2 Hg 0.372 0.750 0.264
Hg3 Hg 0.628 0.250 0.736
Hg4 Hg 0.872 0.750 0.236
# total magnetic moment: 0.0 μB per cell
# DFT total energy: -3.6034 eV per atom
# space-group type: Pnma (62)
# energy of formation from the pure elements: -0.317 eV per atom
# energy above the most stable polymorph in this dataset: 14.0 meV per atom